--- w ---
PmSm2Y6 PBE-GGA optimized geometry; space-group type = Immm, No. 71; total moment = 0.00 μB per formula unit; D(E_F) = 15.4 states/eV/cell; crystal system = orthorhombic
1.0
-2.651 1.710 -1.544
-6.852 -0.653 7.061
-0.857 7.735 6.055
Pm Sm Y
1 2 6
Direct
0.000 0.000 0.000
0.844 0.658 0.658
0.156 0.342 0.342
0.822 0.344 0.011
0.178 0.989 0.656
0.178 0.656 0.989
0.500 0.316 0.684
0.822 0.011 0.344
0.500 0.684 0.316

***

--- x ---
PmSm2Y6 PBE-GGA optimized geometry; space-group type = C2/c, No. 15; total moment = 0.00 μB per formula unit; D(E_F) = 24.7 states/eV/cell; crystal system = monoclinic
1.0
-4.758 4.307 1.590
-6.913 -3.223 -5.905
-3.366 -4.399 7.897
Pm Sm Y
2 4 12
Direct
0.250 0.120 0.880
0.750 0.880 0.120
0.129 0.614 0.665
0.371 0.335 0.386
0.871 0.386 0.335
0.629 0.665 0.614
0.503 0.652 0.277
0.997 0.723 0.348
0.497 0.348 0.723
0.003 0.277 0.652
0.729 0.060 0.460
0.771 0.540 0.940
0.271 0.940 0.540
0.229 0.460 0.060
0.316 0.779 0.950
0.184 0.050 0.221
0.684 0.221 0.050
0.816 0.950 0.779

***

x takes first place; second place is 8 meV per atom up.